[1]
! PBE-GGA TbCuPdRh, relaxed; values from VASP
&SYSTEM
  ibrav = 0, nat = 4, ntyp = 4
/
ATOMIC_SPECIES
Pd 106.42 Pd.upf
Rh 102.91 Rh.upf
Cu 63.55 Cu.upf
Tb 158.93 Tb.upf
CELL_PARAMETERS angstrom
3.845 0.000 0.000
0.000 4.110 0.000
0.000 0.000 4.236
ATOMIC_POSITIONS crystal
Pd 0.500 0.500 0.000
Rh 0.500 0.000 0.500
Cu 0.000 0.000 0.000
Tb 0.000 0.500 0.500
! Energy of formation from the pure elements in eV per formula unit: -2.4
! Calculated total energy in eV per atom: -5.91


[2]
! PBE-GGA CuTcPdRh, relaxed; values from VASP
&SYSTEM
  ibrav = 0, nat = 4, ntyp = 4
/
ATOMIC_SPECIES
Pd 106.42 Pd.upf
Cu 63.55 Cu.upf
Rh 102.91 Rh.upf
Tc 98.00 Tc.upf
CELL_PARAMETERS angstrom
-2.598 -0.751 -3.395
-2.798 -3.316 0.101
-4.260 0.764 0.317
ATOMIC_POSITIONS crystal
Pd 0.000 0.000 0.000
Cu 0.250 0.250 0.250
Rh 0.500 0.500 0.500
Tc 0.750 0.750 0.750
! Energy of formation from the pure elements in eV per formula unit: 0.9
! Calculated total energy in eV per atom: -6.52


[3]
! PBE-GGA CuTePdRh, relaxed; values from VASP
&SYSTEM
  ibrav = 0, nat = 4, ntyp = 4
/
ATOMIC_SPECIES
Cu 63.55 Cu.upf
Rh 102.91 Rh.upf
Te 127.60 Te.upf
Pd 106.42 Pd.upf
CELL_PARAMETERS angstrom
4.493 0.000 0.000
2.246 3.891 0.000
2.246 1.297 3.668
ATOMIC_POSITIONS crystal
Cu 0.250 0.250 0.250
Rh 0.000 0.000 0.000
Te 0.750 0.750 0.750
Pd 0.500 0.500 0.500
! Formation energy (no corrections) in eV per formula unit: -0.3
! Calculated total energy in eV per atom: -5.03


[4]
! PBE-GGA TiCuPdRh, relaxed; values from VASP
&SYSTEM
  ibrav = 0, nat = 4, ntyp = 4
/
ATOMIC_SPECIES
Rh 102.91 Rh.upf
Ti 47.87 Ti.upf
Cu 63.55 Cu.upf
Pd 106.42 Pd.upf
CELL_PARAMETERS angstrom
-2.138 -1.472 3.451
1.968 -2.637 2.797
1.031 1.419 3.946
ATOMIC_POSITIONS crystal
Rh 0.000 0.000 0.000
Ti 0.250 0.250 0.250
Cu 0.750 0.750 0.750
Pd 0.500 0.500 0.500
! Energy of formation from the pure elements in eV per formula unit: -2.0
! Calculated total energy in eV per atom: -6.65


[5]
! PBE-GGA TiCuPdRh, relaxed; values from VASP
&SYSTEM
  ibrav = 0, nat = 4, ntyp = 4
/
ATOMIC_SPECIES
Cu 63.55 Cu.upf
Rh 102.91 Rh.upf
Ti 47.87 Ti.upf
Pd 106.42 Pd.upf
CELL_PARAMETERS angstrom
-3.434 0.825 0.168
-0.764 -3.485 1.509
0.551 1.522 3.795
ATOMIC_POSITIONS crystal
Cu 0.000 0.500 0.500
Rh 0.500 0.500 0.000
Ti 0.000 0.000 0.000
Pd 0.500 0.000 0.500
! Energy of formation from the pure elements in eV per formula unit: -2.2
! Calculated total energy in eV per atom: -6.69


[6]
! PBE-GGA TlCuPdRh, relaxed; values from VASP
&SYSTEM
  ibrav = 0, nat = 4, ntyp = 4
/
ATOMIC_SPECIES
Cu 63.55 Cu.upf
Rh 102.91 Rh.upf
Tl 204.38 Tl.upf
Pd 106.42 Pd.upf
CELL_PARAMETERS angstrom
-0.325 -4.079 -1.855
3.448 -2.869 0.262
-0.301 -3.640 2.616
ATOMIC_POSITIONS crystal
Cu 0.750 0.750 0.750
Rh 0.000 0.000 0.000
Tl 0.250 0.250 0.250
Pd 0.500 0.500 0.500
! Energy of formation from the pure elements in eV per formula unit: -0.1
! Calculated total energy in eV per atom: -4.79


[7]
! PBE-GGA ZrCuPd2Rh, relaxed; values from VASP
&SYSTEM
  ibrav = 0, nat = 5, ntyp = 4
/
ATOMIC_SPECIES
Pd 106.42 Pd.upf
Rh 102.91 Rh.upf
Zr 91.22 Zr.upf
Cu 63.55 Cu.upf
CELL_PARAMETERS angstrom
4.789 0.000 0.000
0.000 4.762 0.000
0.000 0.000 4.789
ATOMIC_POSITIONS crystal
Pd 0.500 0.000 0.000
Pd 0.000 0.000 0.500
Rh 0.500 0.500 0.500
Zr 0.000 0.000 0.000
Cu 0.000 0.500 0.000
! Energy of formation from the pure elements in eV per formula unit: 6.0
! Calculated total energy in eV per atom: -4.88


[8]
! PBE-GGA CuPd2Ru, relaxed; values from VASP
&SYSTEM
  ibrav = 0, nat = 4, ntyp = 3
/
ATOMIC_SPECIES
Pd 106.42 Pd.upf
Cu 63.55 Cu.upf
Ru 101.07 Ru.upf
CELL_PARAMETERS angstrom
-1.629 -1.948 1.033
0.824 -2.615 0.005
3.357 -0.365 8.241
ATOMIC_POSITIONS crystal
Pd 0.748 0.748 0.755
Pd 0.252 0.252 0.245
Cu 0.000 0.000 0.000
Ru 0.500 0.500 0.500
! Energy of formation from the pure elements in eV per formula unit: 0.3
! Calculated total energy in eV per atom: -5.86


[9]
! PBE-GGA CuPd3Ru, relaxed; values from VASP
&SYSTEM
  ibrav = 0, nat = 5, ntyp = 3
/
ATOMIC_SPECIES
Pd 106.42 Pd.upf
Ru 101.07 Ru.upf
Cu 63.55 Cu.upf
CELL_PARAMETERS angstrom
4.531 0.000 0.000
0.000 4.531 0.000
0.000 0.000 4.531
ATOMIC_POSITIONS crystal
Pd 0.500 0.000 0.000
Pd 0.000 0.500 0.000
Pd 0.000 0.000 0.500
Ru 0.500 0.500 0.500
Cu 0.000 0.000 0.000
! Energy of formation from the pure elements in eV per formula unit: 5.8
! Calculated total energy in eV per atom: -4.63


[10]
! PBE-GGA CuPd2Ru, relaxed; values from VASP
&SYSTEM
  ibrav = 0, nat = 4, ntyp = 3
/
ATOMIC_SPECIES
Pd 106.42 Pd.upf
Cu 63.55 Cu.upf
Ru 101.07 Ru.upf
CELL_PARAMETERS angstrom
-2.324 1.386 -0.534
-1.112 -0.966 2.333
2.675 5.922 3.728
ATOMIC_POSITIONS crystal
Pd 0.000 0.000 0.756
Pd 0.000 0.000 0.244
Cu 0.500 0.500 0.000
Ru 0.500 0.500 0.500
! Energy of formation from the pure elements in eV per formula unit: 0.4
! Calculated total energy in eV per atom: -5.85


[11]
! PBE-GGA CuPd2Ru, relaxed; values from VASP
&SYSTEM
  ibrav = 0, nat = 8, ntyp = 3
/
ATOMIC_SPECIES
Pd 106.42 Pd.upf
Ru 101.07 Ru.upf
Cu 63.55 Cu.upf
CELL_PARAMETERS angstrom
-5.509 -0.701 -4.112
3.156 -5.155 -3.348
-2.225 -4.676 -2.028
ATOMIC_POSITIONS crystal
Pd 0.615 0.125 0.250
Pd 0.375 0.385 0.750
Pd 0.135 0.625 0.250
Pd 0.875 0.865 0.750
Ru 0.750 0.250 0.500
Ru 0.000 0.000 0.000
Cu 0.500 0.500 0.000
Cu 0.250 0.750 0.500
! Energy of formation from the pure elements in eV per formula unit: 2.5
! Calculated total energy in eV per atom: -5.33


[12]
! PBE-GGA CuPd3Ru, relaxed; values from VASP
&SYSTEM
  ibrav = 0, nat = 5, ntyp = 3
/
ATOMIC_SPECIES
Cu 63.55 Cu.upf
Pd 106.42 Pd.upf
Ru 101.07 Ru.upf
CELL_PARAMETERS angstrom
-0.269 -3.423 3.318
4.493 0.927 1.321
-1.591 3.197 3.169
ATOMIC_POSITIONS crystal
Cu 0.500 0.500 0.500
Pd 0.000 0.000 0.500
Pd 0.000 0.500 0.000
Pd 0.500 0.000 0.000
Ru 0.000 0.000 0.000
! Energy of formation from the pure elements in eV per formula unit: 6.8
! Calculated total energy in eV per atom: -4.43